# 1
The following is a DFT calculation (meta-GGA SCAN) of Cr2FeMo at its PBEsol-relaxed geometry.

Lattice parameters (Å, degrees): 3.577 3.577 4.543 113.18 113.18 90.00
Fractional positions:
Cr  0.000  0.000  0.000
Cr  0.750  0.250  0.500
Fe  0.500  0.500  0.000
Mo  0.250  0.750  0.500

Computed properties:
- Energy relative to the lowest polymorph listed for this composition: 210.6 meV per atom
- Formation energy from the elements: 0.35 eV/atom
- Energy: -0.8122 Ha/atom

***

# 2
The following is a DFT calculation (meta-GGA SCAN) of NaCrFeMo2 at its PBEsol-relaxed geometry.

Lattice parameters (Å, degrees): 4.457 4.429 4.429 90.00 90.00 90.00
Fractional positions:
Cr  0.000  0.000  0.000
Mo  0.000  0.000  0.500
Mo  0.000  0.500  0.000
Fe  0.500  0.000  0.000
Na  0.500  0.500  0.500

Computed properties:
- Formation energy from the elements: 1.31 eV/atom
- Energy: -0.7642 Ha/atom

***

# 3
The following is a DFT calculation (meta-GGA SCAN) of CrFeMoOs2 at its PBEsol-relaxed geometry.

Lattice parameters (Å, degrees): 4.323 4.378 4.378 90.00 90.00 90.00
Fractional positions:
Cr  0.000  0.000  0.000
Mo  0.500  0.000  0.000
Os  0.000  0.000  0.500
Os  0.000  0.500  0.000
Fe  0.500  0.500  0.500

Computed properties:
- Formation energy from the elements: 1.55 eV/atom
- Energy: -1.5243 Ha/atom

***

# 4
The following is a DFT calculation (meta-GGA SCAN) of CrFeN3 at its PBEsol-relaxed geometry.

Lattice parameters (Å, degrees): 3.599 3.599 3.599 90.00 90.00 90.00
Fractional positions:
Cr  0.500  0.500  0.500
Fe  0.000  0.000  0.000
N  0.000  0.500  0.000
N  0.000  0.000  0.500
N  0.500  0.000  0.000

Computed properties:
- Energy: -0.4411 Ha/atom
- ΔE_f (raw): 0.88 eV/atom

***

# 5
The following is a DFT calculation (meta-GGA SCAN) of CrFeN2 at its PBEsol-relaxed geometry.

Lattice parameters (Å, degrees): 4.219 4.219 5.205 113.91 113.91 90.00
Fractional positions:
Cr  0.750  0.250  0.500
Cr  0.500  0.500  0.000
Fe  0.250  0.750  0.500
Fe  0.000  0.000  0.000
N  0.373  0.875  0.250
N  0.877  0.375  0.250
N  0.125  0.123  0.750
N  0.625  0.627  0.750

Computed properties:
- Energy: -0.5212 Ha/atom
- ΔE_f (raw): -0.41 eV/atom

***

# 6
The following is a DFT calculation (meta-GGA SCAN) of CrFeSN2 at its PBEsol-relaxed geometry.

Lattice parameters (Å, degrees): 3.506 3.506 4.867 90.00 90.00 90.00
Fractional positions:
Cr  0.500  0.500  0.500
S  0.000  0.000  0.500
Fe  0.000  0.000  0.000
N  0.000  0.500  0.000
N  0.500  0.000  0.000

Computed properties:
- Energy: -0.4573 Ha/atom
- ΔE_f (raw): 0.50 eV/atom

***

# 7
The following is a DFT calculation (meta-GGA SCAN) of NaCr2FeO8 at its PBEsol-relaxed geometry.

Lattice parameters (Å, degrees): 4.947 4.947 6.795 89.08 89.08 65.60
Fractional positions:
Na  0.000  0.000  0.500
Cr  0.361  0.361  0.782
Cr  0.639  0.639  0.218
Fe  0.000  0.000  0.000
O  0.287  0.287  0.566
O  0.713  0.713  0.434
O  0.216  0.735  0.805
O  0.784  0.265  0.195
O  0.265  0.784  0.195
O  0.735  0.216  0.805
O  0.217  0.217  0.952
O  0.783  0.783  0.048

Computed properties:
- Energy: -0.4016 Ha/atom
- ΔE_f (raw): -1.85 eV/atom

***

# 8
The following is a DFT calculation (meta-GGA SCAN) of NbCrFe2 at its PBEsol-relaxed geometry.

Lattice parameters (Å, degrees): 4.129 4.129 4.129 60.00 60.00 60.00
Fractional positions:
Cr  0.000  0.000  0.000
Nb  0.500  0.500  0.500
Fe  0.250  0.250  0.250
Fe  0.750  0.750  0.750

Computed properties:
- Formation energy from the elements: 0.16 eV/atom
- Energy: -0.8004 Ha/atom

***

# 9
The following is a DFT calculation (meta-GGA SCAN) of NbCrFe at its PBEsol-relaxed geometry.

Lattice parameters (Å, degrees): 4.778 4.826 7.747 90.00 90.00 119.67
Fractional positions:
Nb  0.667  0.334  0.808
Nb  0.335  0.670  0.686
Nb  0.335  0.670  0.314
Nb  0.667  0.334  0.192
Cr  0.002  0.004  0.741
Cr  0.002  0.004  0.259
Cr  0.169  0.828  0.000
Cr  0.659  0.828  0.000
Fe  0.170  0.340  0.000
Fe  0.830  0.169  0.500
Fe  0.339  0.169  0.500
Fe  0.826  0.651  0.500

Computed properties:
- Formation energy from the elements: 0.00 eV/atom
- Energy: -0.8531 Ha/atom

***

# 10
The following is a DFT calculation (meta-GGA SCAN) of Cr2FeNi at its PBEsol-relaxed geometry.

Lattice parameters (Å, degrees): 2.455 2.455 8.263 81.46 81.46 60.00
Fractional positions:
Cr  0.248  0.248  0.255
Cr  0.752  0.752  0.745
Fe  0.500  0.500  0.500
Ni  0.000  0.000  0.000

Computed properties:
- Energy relative to the lowest polymorph listed for this composition: 237.5 meV per atom
- Formation energy from the elements: 0.29 eV/atom
- Energy: -0.6422 Ha/atom

***

# 11
The following is a DFT calculation (meta-GGA SCAN) of CrFeNi2 at its PBEsol-relaxed geometry.

Lattice parameters (Å, degrees): 2.422 3.616 4.830 90.00 90.00 90.00
Fractional positions:
Ni  0.000  0.000  0.751
Ni  0.000  0.000  0.249
Fe  0.500  0.500  0.500
Cr  0.500  0.500  0.000

Computed properties:
- Formation energy from the elements: 0.02 eV/atom
- Energy: -0.6319 Ha/atom

***

# 12
The following is a DFT calculation (meta-GGA SCAN) of CrFeNi2 at its PBEsol-relaxed geometry.

Lattice parameters (Å, degrees): 2.422 2.422 7.196 90.00 90.00 90.00
Fractional positions:
Ni  0.000  0.000  0.999
Ni  0.500  0.500  0.250
Fe  0.500  0.500  0.757
Cr  0.000  0.000  0.494

Computed properties:
- Formation energy from the elements: 0.04 eV/atom
- Energy: -0.6311 Ha/atom